Here is a relaxed structure of Cr2SiAs from the Alexandria database. Energies are from PBE-GGA.

```
Cr2SiAs
1.0
2.950 -2.949 0.000
2.950 2.949 0.000
-0.007 0.000 2.950
Cr Si As
2 1 1
Direct
0.000 0.500 0.000
0.500 0.000 0.000
0.000 0.000 0.500
0.500 0.500 0.500
```

Calculated values
* raw formation energy: 0.062 eV per atom
* calculated total energy: -29.07 eV/f.u.
* Fermi-level density of states: 0.88 states/eV/atom
* offset from the most stable computed form: 0.162 eV per atom
* total moment: 0.520 μB/atom

***

Here is a relaxed structure of CrSiAs2 from the Alexandria database. Energies are from PBE-GGA.

```
CrSiAs2
1.0
2.998 0.000 0.000
0.000 2.998 0.000
0.000 0.000 6.865
Cr Si As
1 1 2
Direct
0.000 0.000 0.000
0.000 0.000 0.500
0.500 0.500 0.210
0.500 0.500 0.790
```

Calculated values
* raw formation energy: 0.242 eV per atom
* calculated total energy: -23.38 eV/f.u.
* Fermi-level density of states: 0.61 states/eV/atom
* total moment: 0.080 μB/atom

***

Here is a relaxed structure of CrSi2As from the Alexandria database. Energies are from PBE-GGA.

```
CrSi2As
1.0
1.713 -1.961 0.000
1.713 1.961 0.000
0.000 0.000 8.929
Cr Si As
1 2 1
Direct
0.000 0.000 0.000
0.500 0.500 0.200
0.500 0.500 0.800
0.000 0.000 0.500
```

Calculated values
* raw formation energy: 0.305 eV per atom
* calculated total energy: -23.90 eV/f.u.
* Fermi-level density of states: 0.54 states/eV/atom
* total moment: 0.000 μB/atom

***

Here is a relaxed structure of CrSi2TeAs from the Alexandria database. Energies are from PBE-GGA.

```
CrSi2TeAs
1.0
5.120 0.000 0.000
0.000 5.120 0.000
0.000 0.000 5.368
Cr Si Te As
1 2 1 1
Direct
0.000 0.000 0.000
0.000 0.500 0.500
0.500 0.000 0.500
0.500 0.500 0.500
0.500 0.500 0.000
```

Calculated values
* raw formation energy: 1.494 eV per atom
* calculated total energy: -20.79 eV/f.u.
* Fermi-level density of states: 0.55 states/eV/atom
* total moment: 0.924 μB/atom

***

Here is a relaxed structure of ZnCrSi2As from the Alexandria database. Energies are from PBE-GGA.

```
ZnCrSi2As
1.0
4.482 0.000 0.000
0.000 4.482 0.000
0.000 0.000 4.830
Zn Cr Si As
1 1 2 1
Direct
0.000 0.000 0.000
0.000 0.000 0.500
0.000 0.500 0.500
0.500 0.000 0.500
0.500 0.500 0.000
```

Calculated values
* raw formation energy: 0.733 eV per atom
* calculated total energy: -22.73 eV/f.u.
* Fermi-level density of states: 1.04 states/eV/atom
* total moment: 0.444 μB/atom

***

Here is a relaxed structure of SmCrAs3 from the Alexandria database. Energies are from PBE-GGA.

```
SmCrAs3
1.0
12.271 0.000 0.000
0.000 5.678 0.000
0.000 0.000 5.636
Sm Cr As
4 4 12
Direct
0.189 0.004 0.250
0.189 0.496 0.750
0.811 0.504 0.250
0.811 0.996 0.750
0.413 0.750 0.000
0.413 0.750 0.500
0.587 0.250 0.000
0.587 0.250 0.500
0.002 0.750 0.000
0.002 0.750 0.500
0.288 0.504 0.250
0.288 0.996 0.750
0.433 0.106 0.250
0.433 0.394 0.750
0.567 0.606 0.250
0.567 0.894 0.750
0.712 0.004 0.250
0.712 0.496 0.750
0.998 0.250 0.000
0.998 0.250 0.500
```

Calculated values
* calculated total energy: -31.67 eV/f.u.
* calculated formation energy: -0.68 eV per atom
* Fermi-level density of states: 0.45 states/eV/atom
* total moment: 0.324 μB/atom

***

Here is a relaxed structure of CrSnAs2 from the Alexandria database. Energies are from PBE-GGA.

```
CrSnAs2
1.0
1.576 0.910 9.148
-1.576 0.910 9.148
0.000 -1.820 9.148
Cr Sn As
1 1 2
Direct
0.000 0.000 0.000
0.829 0.829 0.829
0.393 0.393 0.393
0.606 0.606 0.606
```

Calculated values
* calculated total energy: -22.68 eV/f.u.
* calculated formation energy: 0.06 eV per atom
* Fermi-level density of states: 0.82 states/eV/atom
* total moment: 0.015 μB/atom

***

Here is a relaxed structure of Cr2SnAs2 from the Alexandria database. Energies are from PBE-GGA.

```
Cr2SnAs2
1.0
7.271 0.000 0.000
0.000 7.271 0.000
0.000 0.000 3.102
Cr Sn As
4 2 4
Direct
0.141 0.359 0.000
0.359 0.859 0.000
0.641 0.141 0.000
0.859 0.641 0.000
0.000 0.000 0.000
0.500 0.500 0.000
0.144 0.644 0.500
0.356 0.144 0.500
0.644 0.856 0.500
0.856 0.356 0.500
```

Calculated values
* calculated total energy: -31.73 eV/f.u.
* calculated formation energy: 0.16 eV per atom
* Fermi-level density of states: 0.69 states/eV/atom
* offset from the most stable computed form: 0.080 eV per atom
* total moment: 0.619 μB/atom

***

Here is a relaxed structure of CrSn3As from the Alexandria database. Energies are from PBE-GGA.

```
CrSn3As
1.0
5.084 0.000 0.000
0.000 5.084 0.000
0.000 0.000 5.084
Cr Sn As
1 3 1
Direct
0.000 0.000 0.000
0.000 0.000 0.500
0.000 0.500 0.000
0.500 0.000 0.000
0.500 0.500 0.500
```

Calculated values
* calculated total energy: -24.22 eV/f.u.
* calculated formation energy: 0.41 eV per atom
* Fermi-level density of states: 0.51 states/eV/atom
* offset from the most stable computed form: 0.000 eV per atom
* total moment: 0.592 μB/atom

***

Here is a relaxed structure of CrSnAs3 from the Alexandria database. Energies are from PBE-GGA.

```
CrSnAs3
1.0
4.761 0.000 0.000
0.000 4.761 0.000
0.000 0.000 4.761
Cr Sn As
1 1 3
Direct
0.000 0.000 0.000
0.500 0.500 0.500
0.000 0.000 0.500
0.000 0.500 0.000
0.500 0.000 0.000
```

Calculated values
* calculated total energy: -25.99 eV/f.u.
* calculated formation energy: 0.32 eV per atom
* Fermi-level density of states: 0.82 states/eV/atom
* offset from the most stable computed form: 0.000 eV per atom
* total moment: 0.256 μB/atom

***

Here is a relaxed structure of Cr2SnAs2 from the Alexandria database. Energies are from PBE-GGA.

```
Cr2SnAs2
1.0
-2.181 2.181 4.680
2.181 -2.181 4.680
2.181 2.181 -4.680
Cr Sn As
2 1 2
Direct
0.250 0.750 0.500
0.750 0.250 0.500
0.000 0.000 0.000
0.365 0.365 0.000
0.635 0.635 0.000
```

Calculated values
* calculated total energy: -32.13 eV/f.u.
* calculated formation energy: 0.08 eV per atom
* Fermi-level density of states: 0.57 states/eV/atom
* offset from the most stable computed form: 0.000 eV per atom
* total moment: 0.722 μB/atom

***

Here is a relaxed structure of CrSnAs2 from the Alexandria database. Energies are from PBE-GGA.

```
CrSnAs2
1.0
-2.985 2.985 5.994
2.985 -2.985 5.994
2.985 2.985 -5.994
Cr Sn As
2 2 4
Direct
0.000 0.000 0.000
0.750 0.250 0.500
0.250 0.750 0.500
0.500 0.500 0.000
0.098 0.625 0.973
0.375 0.348 0.473
0.652 0.125 0.027
0.875 0.902 0.527
```

Calculated values
* calculated total energy: -22.54 eV/f.u.
* calculated formation energy: 0.10 eV per atom
* Fermi-level density of states: 0.39 states/eV/atom
* total moment: 0.982 μB/atom